This record from Alexandria via LeMat-Bulk describes Sr6PPd2 after structural relaxation. The functional is GGA-PBE.

POSCAR file:
```
Sr6PPd2
1.0
-4.366 6.006 0.871
0.404 -0.864 7.976
9.581 5.918 0.156
Sr Pd P
12 4 2
direct
0.822 0.677 0.931
0.676 0.188 0.918
0.662 0.437 0.242
0.838 0.937 0.258
0.178 0.323 0.069
0.824 0.688 0.582
0.322 0.823 0.431
0.162 0.063 0.742
0.338 0.563 0.758
0.678 0.177 0.569
0.324 0.812 0.082
0.176 0.312 0.418
0.546 0.896 0.731
0.454 0.104 0.269
0.046 0.604 0.231
0.954 0.396 0.769
0.500 0.500 0.000
0.000 0.000 0.500
```

Properties
crystal system = monoclinic
Fermi-level density of states = 16.85 states/eV/cell
total energy = -3.410 eV per atom
SG = P2_1/c, No. 14
energy of formation from the pure elements = -4.8 eV/f.u.

***

This record from Alexandria via LeMat-Bulk describes LaHoTlRu after structural relaxation. The functional is GGA-PBE.

POSCAR file:
```
LaHoTlRu
1.0
-0.340 4.669 -2.281
-3.146 3.644 1.985
2.020 4.192 2.336
La Ho Ru Tl
1 1 1 1
direct
0.500 0.500 0.500
0.000 0.000 0.000
0.250 0.250 0.250
0.750 0.750 0.750
```

Properties
crystal system = cubic
Fermi-level density of states = 2.45 states/eV/cell
total energy = -5.474 eV per atom
SG = F-43m, No. 216
energy of formation from the pure elements = -0.7 eV/f.u.